# Mn3Cr3Si7Ni16

Mn3Cr3Si7Ni16 at its PBEsol-relaxed geometry (SCAN, Alexandria).

Lattice parameters (Å, degrees): 7.724 7.724 7.724 60.00 60.00 60.00
Positions (direct):
Ni  0.495  0.836  0.836
Ni  0.618  0.147  0.618
Ni  0.166  0.503  0.166
Ni  0.147  0.618  0.618
Ni  0.853  0.382  0.382
Ni  0.382  0.382  0.853
Ni  0.165  0.165  0.165
Ni  0.503  0.166  0.166
Ni  0.836  0.836  0.495
Ni  0.382  0.853  0.382
Ni  0.618  0.618  0.147
Ni  0.836  0.495  0.836
Ni  0.618  0.618  0.618
Ni  0.166  0.166  0.503
Ni  0.382  0.382  0.382
Ni  0.833  0.833  0.833
Si  0.001  0.502  0.001
Si  0.997  0.500  0.500
Si  0.500  0.500  0.997
Si  0.500  0.997  0.500
Si  0.500  0.500  0.500
Si  0.502  0.001  0.001
Si  0.001  0.001  0.502
Cr  0.188  0.809  0.809
Cr  0.809  0.188  0.809
Cr  0.809  0.809  0.188
Mn  0.806  0.193  0.193
Mn  0.193  0.193  0.806
Mn  0.193  0.806  0.193

Summary:
* M_tot: 23.793 μB per cell
* E: -453.47 eV/f.u.